First-principles (PBE) data for crystalline AcLuAgBi at its relaxed geometry, as listed in Alexandria via LeMat-Bulk.

Cell: 5.541 5.541 5.541 Å, 60.00 60.00 60.00°
Fractional positions:
Ac 0.000 0.000 0.000
Lu 0.500 0.500 0.500
Ag 0.750 0.750 0.750
Bi 0.250 0.250 0.250

Values from the calculation:
For the energy of formation, the calculation gives -0.34 eV per atom. As for the symmetry: F-43m (216). The volume comes out at 30.070 A^3/atom. For the uncorrected energy, the calculation gives -4.179 eV/atom.

=====

First-principles (PBE) data for crystalline InCuHgPb2 at its relaxed geometry, as listed in Alexandria via LeMat-Bulk.

Cell: 5.334 5.334 5.077 Å, 90.00 90.00 90.00°
Fractional positions:
In 0.000 0.000 0.000
Cu 0.000 0.000 0.500
Hg 0.500 0.500 0.000
Pb 0.000 0.500 0.500
Pb 0.500 0.000 0.500

Values from the calculation:
For the energy of formation, the calculation gives 0.20 eV per atom. As for the symmetry: P4/mmm (123). The volume comes out at 28.886 A^3/atom. For the uncorrected energy, the calculation gives -2.713 eV/atom.

=====

First-principles (PBE) data for crystalline InReSb3 at its relaxed geometry, as listed in Alexandria via LeMat-Bulk.

Cell: 5.486 5.486 5.486 Å, 90.00 90.00 90.00°
Fractional positions:
In 0.000 0.000 0.000
Re 0.500 0.500 0.500
Sb 0.000 0.000 0.500
Sb 0.000 0.500 0.000
Sb 0.500 0.000 0.000

Values from the calculation:
As for the symmetry: Pm-3m (221). The volume comes out at 33.020 A^3/atom. For the uncorrected energy, the calculation gives -3.661 eV/atom. Its relative energy among the computed polymorphs is 1.265 eV/atom. The uncorrected formation energy comes out at 1.85 eV per atom.